The following is a PBE calculation of a geometry-optimized Ca2TlC2 structure, from Alexandria.

Geometry as POSCAR:
```
Ca2TlC2
1.0
7.723 0.000 0.000
0.000 7.723 0.000
0.000 0.000 3.088
C Ca Tl
4 4 2
direct
0.673 0.827 0.500 C
0.827 0.327 0.500 C
0.173 0.673 0.500 C
0.327 0.173 0.500 C
0.366 0.866 0.000 Ca
0.866 0.634 0.000 Ca
0.634 0.134 0.000 Ca
0.134 0.366 0.000 Ca
0.000 0.000 0.000 Tl
0.500 0.500 0.000 Tl
```

Properties
- mass density (g/cm3) = 5.6
- symmetry = P4/mbm
- DFT total energy (eV per cell) = -38.2
- energy of formation from the pure elements (meV/atom) = 1140